Entry 1:
! HoPu2ZrAs4, optimized geometry, DFT PBE; values from VASP
&SYSTEM
  ibrav = 0, nat = 8, ntyp = 4
/
ATOMIC_SPECIES
Ho 164.93 Ho.upf
Pu 244.00 Pu.upf
Zr 91.22 Zr.upf
As 74.92 As.upf
CELL_PARAMETERS angstrom
4.053 0.000 0.000
0.000 7.042 0.132
0.000 -2.450 6.559
ATOMIC_POSITIONS crystal
Ho 0.500 0.500 0.000
Pu 0.500 0.000 0.500
Pu 0.000 0.500 0.500
Zr 0.000 0.000 0.000
As 0.500 0.240 0.240
As 0.500 0.760 0.760
As 0.000 0.244 0.756
As 0.000 0.756 0.244
! Energy of formation from the pure elements, eV per atom: -1.198
! DFT total energy, eV per atom: -8.747

Entry 2:
! CsCaGeSeO, optimized geometry, DFT PBE; values from VASP
&SYSTEM
  ibrav = 0, nat = 10, ntyp = 5
/
ATOMIC_SPECIES
Cs 132.91 Cs.upf
O 16.00 O.upf
Ca 40.08 Ca.upf
Ge 72.64 Ge.upf
Se 78.96 Se.upf
CELL_PARAMETERS angstrom
-4.695 -3.698 -1.614
1.222 0.329 -4.309
9.099 -6.902 2.054
ATOMIC_POSITIONS crystal
Cs 0.191 0.000 0.971
Cs 0.191 0.500 0.471
O 0.528 0.000 0.460
O 0.528 0.500 0.960
Ca 0.715 0.000 0.649
Ca 0.715 0.500 0.149
Ge 0.469 0.000 0.299
Ge 0.469 0.500 0.799
Se 0.013 0.000 0.231
Se 0.013 0.500 0.731
! DFT total energy, eV per atom: -4.449
! Formation energy without anion corrections, meV per atom: -1266
! Energy above the lowest structure with this stoichiometry, meV per atom: 97

Entry 3:
! AcTlGeBi, optimized geometry, DFT PBE; values from VASP
&SYSTEM
  ibrav = 0, nat = 4, ntyp = 4
/
ATOMIC_SPECIES
Ac 227.00 Ac.upf
Ge 72.64 Ge.upf
Bi 208.98 Bi.upf
Tl 204.38 Tl.upf
CELL_PARAMETERS angstrom
5.558 0.000 0.000
2.779 4.813 0.000
2.779 1.604 4.538
ATOMIC_POSITIONS crystal
Ac 0.000 0.000 0.000
Ge 0.750 0.750 0.750
Bi 0.500 0.500 0.500
Tl 0.250 0.250 0.250
! Energy of formation from the pure elements, eV per atom: -0.206
! DFT total energy, eV per atom: -3.949

Entry 4:
! KZnAgCl4, optimized geometry, DFT PBE; values from VASP
&SYSTEM
  ibrav = 0, nat = 14, ntyp = 4
/
ATOMIC_SPECIES
K 39.10 K.upf
Zn 65.41 Zn.upf
Ag 107.87 Ag.upf
Cl 35.45 Cl.upf
CELL_PARAMETERS angstrom
6.576 0.000 0.190
0.000 7.281 0.000
-2.343 0.000 8.121
ATOMIC_POSITIONS crystal
K 0.757 0.750 0.941
K 0.243 0.250 0.059
Zn 0.240 0.750 0.314
Zn 0.760 0.250 0.686
Ag 0.832 0.750 0.473
Ag 0.168 0.250 0.527
Cl 0.005 0.489 0.718
Cl 0.995 0.989 0.282
Cl 0.995 0.511 0.282
Cl 0.005 0.011 0.718
Cl 0.366 0.750 0.089
Cl 0.634 0.250 0.911
Cl 0.479 0.750 0.558
Cl 0.521 0.250 0.442
! DFT total energy, eV per atom: -2.977
! Formation energy without anion corrections, meV per atom: -1176

Entry 5:
! SrBiRhPb2, optimized geometry, DFT PBE; values from VASP
&SYSTEM
  ibrav = 0, nat = 5, ntyp = 4
/
ATOMIC_SPECIES
Pb 207.20 Pb.upf
Sr 87.62 Sr.upf
Rh 102.91 Rh.upf
Bi 208.98 Bi.upf
CELL_PARAMETERS angstrom
-0.286 -2.907 4.391
-2.344 -3.867 -2.713
5.059 -2.252 -1.161
ATOMIC_POSITIONS crystal
Pb 0.000 0.500 0.000
Pb 0.500 0.000 0.000
Sr 0.000 0.000 0.500
Rh 0.000 0.000 0.000
Bi 0.500 0.500 0.500
! Energy of formation from the pure elements, eV per atom: -0.269
! DFT total energy, eV per atom: -4.335

Entry 6:
! AcSmP2, optimized geometry, DFT PBE; values from VASP
&SYSTEM
  ibrav = 0, nat = 4, ntyp = 3
/
ATOMIC_SPECIES
Ac 227.00 Ac.upf
Sm 150.36 Sm.upf
P 30.97 P.upf
CELL_PARAMETERS angstrom
-4.134 0.769 -0.296
-2.582 -1.119 3.138
-1.250 6.404 4.086
ATOMIC_POSITIONS crystal
Ac 0.670 0.670 0.991
Sm 0.499 0.499 0.504
P 0.087 0.087 0.738
P 0.245 0.245 0.266
! Energy of formation from the pure elements, eV per atom: -1.324
! DFT total energy, eV per atom: -6.236
! Energy above the lowest structure with this stoichiometry, meV per atom: 167